# 1
Crystalline Y2ScTe at its relaxed geometry. Source: Alexandria, functional PBE.

It has space group I4/mmm (No. 139), with a = 4.596 Å, b = 4.596 Å, c = 10.184 Å, α = 90.00°, β = 90.00° and γ = 90.00°. The inequivalent atoms are Y at (0.000, 0.500, 0.250), Sc at (0.000, 0.000, 0.000) and Te at (0.000, 0.000, 0.500).



# 2
Crystalline YScTe2 at its relaxed geometry. Source: Alexandria, functional PBE.

As for the energy above the most stable polymorph in this dataset: 193 meV per atom.

It has space group Fm-3m (No. 225), with a = 7.444 Å, b = 7.444 Å, c = 7.444 Å, α = 90.00°, β = 90.00° and γ = 90.00°. The inequivalent atoms are Y at (0.000, 0.000, 0.000), Sc at (0.000, 0.000, 0.500) and Te at (0.250, 0.250, 0.250).



# 3
Crystalline YSc2Te4 at its relaxed geometry. Source: Alexandria, functional PBE.

As for the energy above the most stable polymorph in this dataset: 42 meV per atom.

It has space group Cmcm (No. 63), with a = 4.144 Å, b = 13.717 Å, c = 14.472 Å, α = 90.00°, β = 90.00° and γ = 90.00°. The inequivalent atoms are Y at (0.000, 0.126, 0.250), Sc at (0.000, 0.371, 0.066), Te at (0.000, 0.000, 0.000), Te at (0.000, 0.274, 0.617) and Te at (0.000, 0.460, 0.250).



# 4
Crystalline YScTe2 at its relaxed geometry. Source: Alexandria, functional PBE.

As for the energy above the most stable polymorph in this dataset: 33 meV per atom.

It has space group P4mm (No. 99), with a = 4.158 Å, b = 4.158 Å, c = 6.370 Å, α = 90.00°, β = 90.00° and γ = 90.00°. The inequivalent atoms are Y at (0.000, 0.000, 0.000), Sc at (0.500, 0.500, 0.363), Te at (0.000, 0.000, 0.476) and Te at (0.500, 0.500, 0.891).



# 5
Crystalline Y2ScTe at its relaxed geometry. Source: Alexandria, functional PBE.

It has space group P4/mmm (No. 123), with a = 3.942 Å, b = 3.942 Å, c = 7.073 Å, α = 90.00°, β = 90.00° and γ = 90.00°. The inequivalent atoms are Y at (0.000, 0.000, 0.244), Sc at (0.500, 0.500, 0.500) and Te at (0.500, 0.500, 0.000).



# 6
Crystalline Y2ScTe at its relaxed geometry. Source: Alexandria, functional PBE.

It has space group Pmmm (No. 47), with a = 3.888 Å, b = 5.250 Å, c = 5.286 Å, α = 90.00°, β = 90.00° and γ = 90.00°. The inequivalent atoms are Y at (0.000, 0.000, 0.000), Y at (0.500, 0.000, 0.500), Sc at (0.000, 0.500, 0.500) and Te at (0.500, 0.500, 0.000).



# 7
Crystalline YSc2Te4 at its relaxed geometry. Source: Alexandria, functional PBE.

As for the energy above the most stable polymorph in this dataset: 0 meV per atom.

It has space group C2/m (No. 12), with a = 15.906 Å, b = 4.193 Å, c = 7.285 Å, α = 90.00°, β = 116.82° and γ = 90.00°. The inequivalent atoms are Y at (0.000, 0.000, 0.000), Sc at (0.247, 0.500, 0.727), Te at (0.126, 0.000, 0.465) and Te at (0.135, 0.500, 0.967).



# 8
Crystalline YScTe2 at its relaxed geometry. Source: Alexandria, functional PBE.

As for the energy above the most stable polymorph in this dataset: 36 meV per atom.

It has space group C2/m (No. 12), with a = 7.373 Å, b = 4.274 Å, c = 7.403 Å, α = 90.00°, β = 109.59° and γ = 90.00°. The inequivalent atoms are Y at (0.000, 0.000, 0.000), Sc at (0.000, 0.500, 0.500) and Te at (0.245, 0.000, 0.735).



# 9
Crystalline YSc2Te2 at its relaxed geometry. Source: Alexandria, functional PBE.

As for the energy above the most stable polymorph in this dataset: 0 meV per atom.

It has space group P4/mbm (No. 127), with a = 8.080 Å, b = 8.080 Å, c = 3.812 Å, α = 90.00°, β = 90.00° and γ = 90.00°. The inequivalent atoms are Y at (0.000, 0.000, 0.000), Sc at (0.148, 0.352, 0.500) and Te at (0.148, 0.648, 0.000).



# 10
Crystalline YScTe2 at its relaxed geometry. Source: Alexandria, functional PBE.

As for the energy above the most stable polymorph in this dataset: 918 meV per atom.

It has space group F-43m (No. 216), with a = 7.540 Å, b = 7.540 Å, c = 7.540 Å, α = 90.00°, β = 90.00° and γ = 90.00°. The inequivalent atoms are Y at (0.000, 0.000, 0.000), Sc at (0.250, 0.250, 0.250), Te at (0.000, 0.000, 0.500) and Te at (0.250, 0.250, 0.750).



# 11
Crystalline YScTe2 at its relaxed geometry. Source: Alexandria, functional PBE.

As for the energy above the most stable polymorph in this dataset: 161 meV per atom.

It has space group Cm (No. 8), with a = 11.252 Å, b = 3.891 Å, c = 4.972 Å, α = 90.00°, β = 90.10° and γ = 90.00°. The inequivalent atoms are Y at (0.000, 0.000, 0.000), Sc at (0.297, 0.500, 0.499), Te at (0.023, 0.500, 0.500) and Te at (0.278, 0.000, 0.999).



# 12
Crystalline Y2ScTe at its relaxed geometry. Source: Alexandria, functional PBE.

It has space group R3m (No. 160, hexagonal axes), with a = 3.7865 Å, b = 3.7865 Å, c = 29.1514 Å, α = 90.00°, β = 90.00° and γ = 120.00°. The inequivalent atoms are Y at (0.0000, 0.0000, 0.0000), Y at (0.0000, 0.0000, 0.2349), Sc at (0.0000, 0.0000, 0.7598) and Te at (0.0000, 0.0000, 0.4930).



# 13
Crystalline YSc3Te3 at its relaxed geometry. Source: Alexandria, functional PBE.

It has space group R-3 (No. 148, hexagonal axes), with a = 8.6111 Å, b = 8.6111 Å, c = 17.3084 Å, α = 90.00°, β = 90.00° and γ = 120.00°. The inequivalent atoms are Y at (0.0000, 0.0000, 0.1698), Sc at (0.0020, 0.7570, 0.4258) and Te at (0.9996, 0.3887, 0.4099).



# 14
Crystalline YSc4Te at its relaxed geometry. Source: Alexandria, functional PBE.

It has space group F-43m (No. 216), with a = 8.641 Å, b = 8.641 Å, c = 8.641 Å, α = 90.00°, β = 90.00° and γ = 90.00°. The inequivalent atoms are Y at (0.000, 0.000, 0.000), Sc at (0.127, 0.127, 0.627) and Te at (0.250, 0.250, 0.250).



# 15
Crystalline Y2ScTe4 at its relaxed geometry. Source: Alexandria, functional PBE.

As for the energy above the most stable polymorph in this dataset: 93 meV per atom.

It has space group Cmcm (No. 63), with a = 4.148 Å, b = 14.292 Å, c = 14.810 Å, α = 90.00°, β = 90.00° and γ = 90.00°. The inequivalent atoms are Y at (0.000, 0.132, 0.074), Sc at (0.000, 0.367, 0.250), Te at (0.000, 0.018, 0.250), Te at (0.000, 0.217, 0.624) and Te at (0.000, 0.500, 0.000).



# 16
Crystalline Y2ScTe at its relaxed geometry. Source: Alexandria, functional PBE.

It has space group F-43m (No. 216), with a = 7.497 Å, b = 7.497 Å, c = 7.497 Å, α = 90.00°, β = 90.00° and γ = 90.00°. The inequivalent atoms are Y at (0.000, 0.000, 0.000), Y at (0.250, 0.250, 0.250), Sc at (0.250, 0.250, 0.750) and Te at (0.000, 0.000, 0.500).



# 17
Crystalline Y2ScTe at its relaxed geometry. Source: Alexandria, functional PBE.

It has space group R3m (No. 160, hexagonal axes), with a = 3.8428 Å, b = 3.8428 Å, c = 28.3711 Å, α = 90.00°, β = 90.00° and γ = 120.00°. The inequivalent atoms are Y at (0.0000, 0.0000, 0.0000), Y at (0.0000, 0.0000, 0.1826), Sc at (0.0000, 0.0000, 0.4242) and Te at (0.0000, 0.0000, 0.5913).



# 18
Crystalline YSc2Te2 at its relaxed geometry. Source: Alexandria, functional PBE.

As for the energy above the most stable polymorph in this dataset: 348 meV per atom.

It has space group I4/mmm (No. 139), with a = 5.480 Å, b = 5.480 Å, c = 9.326 Å, α = 90.00°, β = 90.00° and γ = 90.00°. The inequivalent atoms are Y at (0.000, 0.000, 0.000), Sc at (0.000, 0.000, 0.343) and Te at (0.000, 0.500, 0.250).



# 19
Crystalline Y2ScTe at its relaxed geometry. Source: Alexandria, functional PBE.

It has space group Cmmm (No. 65), with a = 6.508 Å, b = 9.090 Å, c = 3.675 Å, α = 90.00°, β = 90.00° and γ = 90.00°. The inequivalent atoms are Y at (0.250, 0.250, 0.000), Sc at (0.000, 0.000, 0.500) and Te at (0.000, 0.500, 0.500).



# 20
Crystalline YScTe4 at its relaxed geometry. Source: Alexandria, functional PBE.

It has space group F-43m (No. 216), with a = 8.940 Å, b = 8.940 Å, c = 8.940 Å, α = 90.00°, β = 90.00° and γ = 90.00°. The inequivalent atoms are Y at (0.000, 0.000, 0.000), Sc at (0.250, 0.250, 0.750) and Te at (0.125, 0.125, 0.375).



# 21
Crystalline Y3ScTe6 at its relaxed geometry. Source: Alexandria, functional PBE.

It has space group R-3 (No. 148, hexagonal axes), with a = 12.6288 Å, b = 12.6288 Å, c = 15.3212 Å, α = 90.00°, β = 90.00° and γ = 120.00°. The inequivalent atoms are Y at (0.0576, 0.2754, 0.2000), Sc at (0.0000, 0.0000, 0.0000), Sc at (0.0000, 0.0000, 0.5000), Te at (0.0149, 0.2015, 0.3944) and Te at (0.0345, 0.1947, 0.8821).



# 22
Crystalline YScTe2 at its relaxed geometry. Source: Alexandria, functional PBE.

As for the energy above the most stable polymorph in this dataset: 0 meV per atom.

It has space group R3m (No. 160, hexagonal axes), with a = 4.1344 Å, b = 4.1344 Å, c = 22.2647 Å, α = 90.00°, β = 90.00° and γ = 120.00°. The inequivalent atoms are Y at (0.0000, 0.0000, 0.0000), Sc at (0.0000, 0.0000, 0.1728), Te at (0.0000, 0.0000, 0.5799) and Te at (0.0000, 0.0000, 0.7582).



# 23
Crystalline Y2ScTe at its relaxed geometry. Source: Alexandria, functional PBE.

It has space group P4/mmm (No. 123), with a = 5.403 Å, b = 5.403 Å, c = 3.758 Å, α = 90.00°, β = 90.00° and γ = 90.00°. The inequivalent atoms are Y at (0.000, 0.500, 0.000), Sc at (0.000, 0.000, 0.500) and Te at (0.500, 0.500, 0.500).



# 24
Crystalline Y2ScTe at its relaxed geometry. Source: Alexandria, functional PBE.

It has space group Imm2 (No. 44), with a = 3.721 Å, b = 5.417 Å, c = 11.104 Å, α = 90.00°, β = 90.00° and γ = 90.00°. The inequivalent atoms are Y at (0.000, 0.000, 0.000), Y at (0.000, 0.500, 0.218), Sc at (0.000, 0.500, 0.775) and Te at (0.000, 0.000, 0.485).



# 25
Crystalline Y2ScTe at its relaxed geometry. Source: Alexandria, functional PBE.

It has space group Amm2 (No. 38), with a = 4.750 Å, b = 3.937 Å, c = 11.829 Å, α = 90.00°, β = 90.00° and γ = 90.00°. The inequivalent atoms are Y at (0.000, 0.000, 0.000), Y at (0.500, 0.000, 0.306), Sc at (0.500, 0.000, 0.578) and Te at (0.000, 0.000, 0.725).



# 26
Crystalline YScTe2 at its relaxed geometry. Source: Alexandria, functional PBE.

As for the energy above the most stable polymorph in this dataset: 191 meV per atom.

It has space group C2/m (No. 12), with a = 7.436 Å, b = 7.437 Å, c = 3.727 Å, α = 90.00°, β = 90.13° and γ = 90.00°. The inequivalent atoms are Y at (0.000, 0.000, 0.000), Sc at (0.000, 0.500, 0.000) and Te at (0.250, 0.250, 0.500).



# 27
Crystalline YScTe2 at its relaxed geometry. Source: Alexandria, functional PBE.

As for the energy above the most stable polymorph in this dataset: 38 meV per atom.

It has space group Imm2 (No. 44), with a = 3.950 Å, b = 4.018 Å, c = 13.905 Å, α = 90.00°, β = 90.00° and γ = 90.00°. The inequivalent atoms are Y at (0.000, 0.000, 0.000), Sc at (0.000, 0.500, 0.746), Te at (0.000, 0.000, 0.407) and Te at (0.000, 0.500, 0.169).



| no. | ΔE_f (raw) (meV/atom) |
| --- | --- |
| 1 | -401 |
| 2 | -1046 |
| 3 | -1249 |
| 4 | -1206 |
| 5 | -573 |
| 6 | -359 |
| 7 | -1290 |
| 8 | -1203 |
| 9 | -924 |
| 10 | -321 |
| 11 | -1078 |
| 12 | -480 |
| 13 | -912 |
| 14 | 54 |
| 15 | -1259 |
| 16 | -153 |
| 17 | -492 |
| 18 | -576 |
| 19 | -446 |
| 20 | 158 |
| 21 | -1314 |
| 22 | -1239 |
| 23 | -434 |
| 24 | -503 |
| 25 | -616 |
| 26 | -1048 |
| 27 | -1201 |